1.
# Li3Mn (PBEsol, relaxed)
# formation energy	34	kJ/mol of atoms
# energy	-14.3	eV/cell
data_Li3Mn
_cell_length_a 2.366
_cell_length_b 2.366
_cell_length_c 9.321
_cell_angle_alpha 90.00
_cell_angle_beta 90.00
_cell_angle_gamma 90.00
_symmetry_space_group_name_H-M 'P 4/m m m'
_symmetry_Int_Tables_number 123
_symmetry_space_group_name_Hall '-P 4 2'
loop_
_atom_site_label
_atom_site_type_symbol
_atom_site_fract_x
_atom_site_fract_y
_atom_site_fract_z
Li1 Li 0.000 0.000 0.000
Li2 Li 0.500 0.500 0.273
Mn1 Mn 0.000 0.000 0.500

---

2.
# Zr3N4 (PBEsol, relaxed)
# polymorph energy (0 for the lowest one)	3	meV per atom
# uncorrected formation energy	-1.725	eV per atom
# energy	-293.8	eV/cell
data_Zr3N4
_cell_length_a 6.705
_cell_length_b 6.705
_cell_length_c 6.705
_cell_angle_alpha 90.00
_cell_angle_beta 90.00
_cell_angle_gamma 90.00
_symmetry_space_group_name_H-M 'I -4 3 d'
_symmetry_Int_Tables_number 220
_symmetry_space_group_name_Hall 'I -4bd 2c 3'
loop_
_atom_site_label
_atom_site_type_symbol
_atom_site_fract_x
_atom_site_fract_y
_atom_site_fract_z
Zr1 Zr 0.000 0.250 0.875
N1 N 0.071 0.429 0.571

---

3.
# TlZnCu2 (PBEsol, relaxed)
# formation energy	23	kJ/mol of atoms
# energy	-23.9	eV/cell
data_TlZnCu2
_cell_length_a 8.355
_cell_length_b 3.288
_cell_length_c 4.713
_cell_angle_alpha 90.00
_cell_angle_beta 104.33
_cell_angle_gamma 90.00
_symmetry_space_group_name_H-M 'C 1 2/m 1'
_symmetry_Int_Tables_number 12
loop_
_symmetry_equiv_pos_as_xyz
'x,y,z'
'-x,-y,-z'
'-x,y,-z'
'x,-y,z'
'x+1/2,y+1/2,z'
'-x+1/2,-y+1/2,-z'
'-x+1/2,y+1/2,-z'
'x+1/2,-y+1/2,z'
loop_
_atom_site_label
_atom_site_type_symbol
_atom_site_fract_x
_atom_site_fract_y
_atom_site_fract_z
Tl1 Tl 0.000 0.000 0.000
Zn1 Zn 0.000 0.500 0.500
Cu1 Cu 0.237 0.000 0.697

---

4.
# MgCoAg (PBEsol, relaxed)
# formation energy	25	kJ/mol of atoms
# energy	-12.0	eV/cell
data_MgCoAg
_cell_length_a 4.3720
_cell_length_b 4.3720
_cell_length_c 2.7055
_cell_angle_alpha 90.00
_cell_angle_beta 90.00
_cell_angle_gamma 120.00
_symmetry_space_group_name_H-M 'P 3 m 1'
_symmetry_Int_Tables_number 156
loop_
_symmetry_equiv_pos_as_xyz
'x,y,z'
'-y,x-y,z'
'-x+y,-x,z'
'-y,-x,z'
'-x+y,y,z'
'x,x-y,z'
loop_
_atom_site_label
_atom_site_type_symbol
_atom_site_fract_x
_atom_site_fract_y
_atom_site_fract_z
Mg1 Mg 0.0000 0.0000 0.0000
Co1 Co 0.3333 0.6667 0.6678
Ag1 Ag 0.6667 0.3333 0.3736

---

5.
# KHoBeF6 (PBEsol, relaxed)
# uncorrected formation energy	-3.639	eV per atom
# energy	-108.8	eV/cell
data_KHoBeF6
_cell_length_a 6.283
_cell_length_b 5.769
_cell_length_c 6.948
_cell_angle_alpha 90.00
_cell_angle_beta 112.90
_cell_angle_gamma 90.00
_symmetry_space_group_name_H-M 'P 1 21/m 1'
_symmetry_Int_Tables_number 11
loop_
_symmetry_equiv_pos_as_xyz
'x,y,z'
'-x,-y,-z'
'-x,y+1/2,-z'
'x,-y+1/2,z'
loop_
_atom_site_label
_atom_site_type_symbol
_atom_site_fract_x
_atom_site_fract_y
_atom_site_fract_z
K1 K 0.069 0.250 0.204
Ho1 Ho 0.388 0.250 0.824
Be1 Be 0.232 0.750 0.463
F1 F 0.009 0.750 0.258
F2 F 0.231 0.533 0.596
F3 F 0.320 0.502 0.037
F4 F 0.449 0.750 0.412

---

6.
# Sc5Hg3 (PBEsol, relaxed)
# formation energy	-39	kJ/mol of atoms
# polymorph energy (0 for the lowest one)	0	meV per atom
# energy	-76.0	eV/cell
data_Sc5Hg3
_cell_length_a 8.5267
_cell_length_b 8.5267
_cell_length_c 5.4480
_cell_angle_alpha 90.00
_cell_angle_beta 90.00
_cell_angle_gamma 120.00
_symmetry_space_group_name_H-M 'P 63/m c m'
_symmetry_Int_Tables_number 193
_symmetry_space_group_name_Hall '-P 6c 2'
loop_
_atom_site_label
_atom_site_type_symbol
_atom_site_fract_x
_atom_site_fract_y
_atom_site_fract_z
Sc1 Sc 0.0000 0.2380 0.2500
Sc2 Sc 0.3333 0.6667 0.0000
Hg1 Hg 0.0000 0.3975 0.7500

---

7.
# BaMg2Sb (PBEsol, relaxed)
# uncorrected formation energy	-0.369	eV per atom
# energy	-23.2	eV/cell
data_BaMg2Sb
_cell_length_a 8.391
_cell_length_b 4.827
_cell_length_c 6.866
_cell_angle_alpha 90.00
_cell_angle_beta 113.90
_cell_angle_gamma 90.00
_symmetry_space_group_name_H-M 'C 1 m 1'
_symmetry_Int_Tables_number 8
loop_
_symmetry_equiv_pos_as_xyz
'x,y,z'
'x,-y,z'
'x+1/2,y+1/2,z'
'x+1/2,-y+1/2,z'
loop_
_atom_site_label
_atom_site_type_symbol
_atom_site_fract_x
_atom_site_fract_y
_atom_site_fract_z
Ba1 Ba 0.000 0.000 0.000
Mg1 Mg 0.003 0.500 0.509
Mg2 Mg 0.218 0.000 0.654
Sb1 Sb 0.286 0.500 0.359

---

8.
# Tl2SbTeO (PBEsol, relaxed)
# uncorrected formation energy	-0.259	eV per atom
# energy	-19.9	eV/cell
data_Tl2SbTeO
_cell_length_a 5.344
_cell_length_b 5.344
_cell_length_c 4.428
_cell_angle_alpha 90.00
_cell_angle_beta 90.00
_cell_angle_gamma 90.00
_symmetry_space_group_name_H-M 'P 4/m m m'
_symmetry_Int_Tables_number 123
_symmetry_space_group_name_Hall '-P 4 2'
loop_
_atom_site_label
_atom_site_type_symbol
_atom_site_fract_x
_atom_site_fract_y
_atom_site_fract_z
Tl1 Tl 0.000 0.500 0.000
Sb1 Sb 0.000 0.000 0.500
Te1 Te 0.500 0.500 0.500
O1 O 0.000 0.000 0.000

---

9.
# Sr2Zn2Pd (PBEsol, relaxed)
# formation energy	-12	kJ/mol of atoms
# energy	-26.9	eV/cell
data_Sr2Zn2Pd
_cell_length_a 5.980
_cell_length_b 5.980
_cell_length_c 7.350
_cell_angle_alpha 90.00
_cell_angle_beta 90.00
_cell_angle_gamma 90.00
_symmetry_space_group_name_H-M 'I 4/m m m'
_symmetry_Int_Tables_number 139
_symmetry_space_group_name_Hall '-I 4 2'
loop_
_atom_site_label
_atom_site_type_symbol
_atom_site_fract_x
_atom_site_fract_y
_atom_site_fract_z
Sr1 Sr 0.000 0.500 0.250
Zn1 Zn 0.000 0.000 0.161
Pd1 Pd 0.000 0.000 0.500

---

10.
# FeMoOs (PBEsol, relaxed)
# formation energy	14	kJ/mol of atoms
# polymorph energy (0 for the lowest one)	0	meV per atom
# energy	-65.0	eV/cell
data_FeMoOs
_cell_length_a 2.658
_cell_length_b 3.788
_cell_length_c 8.005
_cell_angle_alpha 90.00
_cell_angle_beta 90.00
_cell_angle_gamma 90.00
_symmetry_space_group_name_H-M 'I m m 2'
_symmetry_Int_Tables_number 44
loop_
_symmetry_equiv_pos_as_xyz
'x,y,z'
'-x,-y,z'
'-x,y,z'
'x,-y,z'
'x+1/2,y+1/2,z+1/2'
'-x+1/2,-y+1/2,z+1/2'
'-x+1/2,y+1/2,z+1/2'
'x+1/2,-y+1/2,z+1/2'
loop_
_atom_site_label
_atom_site_type_symbol
_atom_site_fract_x
_atom_site_fract_y
_atom_site_fract_z
Fe1 Fe 0.000 0.000 0.000
Mo1 Mo 0.000 0.000 0.671
Os1 Os 0.000 0.000 0.344

---

11.
# P4WO12 (PBEsol, relaxed)
# polymorph energy (0 for the lowest one)	26	meV per atom
# uncorrected formation energy	-1.951	eV per atom
# energy	-532.5	eV/cell
data_P4WO12
_cell_length_a 17.300
_cell_length_b 12.655
_cell_length_c 5.303
_cell_angle_alpha 90.00
_cell_angle_beta 103.66
_cell_angle_gamma 90.00
_symmetry_space_group_name_H-M 'C 1 2/m 1'
_symmetry_Int_Tables_number 12
loop_
_symmetry_equiv_pos_as_xyz
'x,y,z'
'-x,-y,-z'
'-x,y,-z'
'x,-y,z'
'x+1/2,y+1/2,z'
'-x+1/2,-y+1/2,-z'
'-x+1/2,y+1/2,-z'
'x+1/2,-y+1/2,z'
loop_
_atom_site_label
_atom_site_type_symbol
_atom_site_fract_x
_atom_site_fract_y
_atom_site_fract_z
P1 P 0.079 0.222 0.170
P2 P 0.189 0.381 0.461
W1 W 0.250 0.250 0.000
O1 O 0.000 0.277 0.000
O2 O 0.068 0.126 0.312
O3 O 0.106 0.324 0.364
O4 O 0.138 0.222 0.990
O5 O 0.164 0.500 0.393
O6 O 0.216 0.374 0.755
O7 O 0.249 0.346 0.314

---

12.
# DyMn2Si2 (PBEsol, relaxed)
# uncorrected formation energy	-0.638	eV per atom
# energy	-78.4	eV/cell
data_DyMn2Si2
_cell_length_a 3.841
_cell_length_b 3.841
_cell_length_c 10.209
_cell_angle_alpha 90.00
_cell_angle_beta 90.00
_cell_angle_gamma 90.00
_symmetry_space_group_name_H-M 'I 4/m m m'
_symmetry_Int_Tables_number 139
_symmetry_space_group_name_Hall '-I 4 2'
loop_
_atom_site_label
_atom_site_type_symbol
_atom_site_fract_x
_atom_site_fract_y
_atom_site_fract_z
Dy1 Dy 0.000 0.000 0.000
Mn1 Mn 0.000 0.500 0.250
Si1 Si 0.000 0.000 0.380